Entry from Alexandria: crystalline MgMn3Tl2F12 at its relaxed geometry (GGA+U).

Lattice parameters (Å, degrees): 7.355 7.355 7.355 62.82 62.82 62.82
Atoms (fractional coordinates):
Mg 0.000 0.000 0.000
Mn 0.000 0.000 0.500
Mn 0.000 0.500 0.000
Mn 0.500 0.000 0.000
Tl 0.338 0.338 0.338
Tl 0.662 0.662 0.662
F 0.052 0.679 0.679
F 0.064 0.064 0.687
F 0.064 0.687 0.064
F 0.313 0.936 0.936
F 0.321 0.321 0.948
F 0.321 0.948 0.321
F 0.679 0.052 0.679
F 0.679 0.679 0.052
F 0.687 0.064 0.064
F 0.936 0.313 0.936
F 0.936 0.936 0.313
F 0.948 0.321 0.321

**Theoretical density**: 4.6 g/cm3
**VASP energy**: -5.391 eV/atom
**Magnetization**: 0.722 μB/atom